No. 1
RbTlIn4 after structural relaxation. Source: the Alexandria database, functional PBE-GGA.

It has space group P6/mmm (No. 191), with a = 5.3387 Å, b = 5.3387 Å, c = 8.3528 Å, α = 90.00°, β = 90.00° and γ = 120.00°. The distinct sites, in fractional coordinates, are Rb at (0.0000, 0.0000, 0.0000), Tl at (0.0000, 0.0000, 0.5000) and In at (0.3333, 0.6667, 0.3093).

The magnetic moment is 0.0000 μB/atom. The value obtained for the energy above the most stable polymorph in this dataset is 0.010 eV/atom. As for the formation energy: -46 meV/atom. As for the density of states at the Fermi level: 4.29 states/eV/f.u.

---

No. 2
ReAgP2 after structural relaxation. Source: the Alexandria database, functional PBE-GGA.

It has space group P4mm (No. 99), with a = 3.124 Å, b = 3.124 Å, c = 7.250 Å, α = 90.00°, β = 90.00° and γ = 90.00°. The distinct sites, in fractional coordinates, are Re at (0.000, 0.000, 0.000), Ag at (0.500, 0.500, 0.482), P at (0.000, 0.000, 0.689) and P at (0.500, 0.500, 0.136).

The magnetic moment is 0.0000 μB/atom. The value obtained for the energy above the most stable polymorph in this dataset is 0.183 eV/atom. As for the formation energy: 209 meV/atom. As for the density of states at the Fermi level: 3.21 states/eV/f.u.

---

No. 3
AcHoErCd after structural relaxation. Source: the Alexandria database, functional PBE-GGA.

It has space group F-43m (No. 216), with a = 7.913 Å, b = 7.913 Å, c = 7.913 Å, α = 90.00°, β = 90.00° and γ = 90.00°. The distinct sites, in fractional coordinates, are Ac at (0.000, 0.000, 0.000), Ho at (0.250, 0.250, 0.250), Er at (0.250, 0.250, 0.750) and Cd at (0.000, 0.000, 0.500).

The magnetic moment is 0.0021 μB/atom. As for the formation energy: 103 meV/atom. As for the density of states at the Fermi level: 6.88 states/eV/f.u.

---

No. 4
NpCdAgCl6 after structural relaxation. Source: the Alexandria database, functional PBE-GGA.

It has space group P-31c (No. 163), with a = 6.8744 Å, b = 6.8744 Å, c = 12.2348 Å, α = 90.00°, β = 90.00° and γ = 120.00°. The distinct sites, in fractional coordinates, are Np at (0.3333, 0.6667, 0.2500), Cd at (0.3333, 0.6667, 0.7500), Ag at (0.0000, 0.0000, 0.0000) and Cl at (0.0079, 0.3470, 0.6275).

The calculation puts the total DFT energy (no corrections) at -4.27 eV per atom. The magnetic moment is 0.4444 μB/atom. As for the density of states at the Fermi level: 7.83 states/eV/f.u.

---

No. 5
Ca2YSc after structural relaxation. Source: the Alexandria database, functional PBE-GGA.

It has space group Pmmm (No. 47), with a = 3.907 Å, b = 5.724 Å, c = 5.971 Å, α = 90.00°, β = 90.00° and γ = 90.00°. The distinct sites, in fractional coordinates, are Ca at (0.000, 0.000, 0.000), Ca at (0.500, 0.500, 0.000), Y at (0.000, 0.500, 0.500) and Sc at (0.500, 0.000, 0.500).

The magnetic moment is 0.0024 μB/atom. The value obtained for the energy above the most stable polymorph in this dataset is 0.114 eV/atom. As for the formation energy: 203 meV/atom. As for the density of states at the Fermi level: 7.10 states/eV/f.u.

---

No. 6
AlTc2Ag after structural relaxation. Source: the Alexandria database, functional PBE-GGA.

It has space group Pmmm (No. 47), with a = 3.157 Å, b = 4.258 Å, c = 4.537 Å, α = 90.00°, β = 90.00° and γ = 90.00°. The distinct sites, in fractional coordinates, are Al at (0.000, 0.000, 0.000), Tc at (0.000, 0.500, 0.500), Tc at (0.500, 0.000, 0.500) and Ag at (0.500, 0.500, 0.000).

The magnetic moment is 0.0000 μB/atom. As for the formation energy: 186 meV/atom. As for the density of states at the Fermi level: 3.24 states/eV/f.u.

---

No. 7
AcTbDyTm after structural relaxation. Source: the Alexandria database, functional PBE-GGA.

It has space group F-43m (No. 216), with a = 8.213 Å, b = 8.213 Å, c = 8.213 Å, α = 90.00°, β = 90.00° and γ = 90.00°. The distinct sites, in fractional coordinates, are Ac at (0.000, 0.000, 0.000), Tb at (0.000, 0.000, 0.500), Dy at (0.250, 0.250, 0.750) and Tm at (0.250, 0.250, 0.250).

The magnetic moment is 0.0000 μB/atom. The value obtained for the energy above the most stable polymorph in this dataset is 0.058 eV/atom. As for the formation energy: 126 meV/atom. As for the density of states at the Fermi level: 6.60 states/eV/f.u.

---

No. 8
PPbCl2 after structural relaxation. Source: the Alexandria database, functional PBE-GGA.

It has space group Pm (No. 6), with a = 4.695 Å, b = 5.617 Å, c = 5.287 Å, α = 90.00°, β = 115.46° and γ = 90.00°. The distinct sites, in fractional coordinates, are P at (0.000, 0.000, 0.000), Pb at (0.047, 0.500, 0.904), Cl at (0.514, 0.000, 0.751) and Cl at (0.686, 0.500, 0.252).

The magnetic moment is 0.0001 μB/atom. The value obtained for the energy above the most stable polymorph in this dataset is 0.112 eV/atom. As for the density of states at the Fermi level: 2.12 states/eV/f.u.

---

No. 9
AcSb3Pd after structural relaxation. Source: the Alexandria database, functional PBE-GGA.

It has space group Pm-3m (No. 221), with a = 5.302 Å, b = 5.302 Å, c = 5.302 Å, α = 90.00°, β = 90.00° and γ = 90.00°. The distinct sites, in fractional coordinates, are Ac at (0.000, 0.000, 0.000), Sb at (0.000, 0.500, 0.500) and Pd at (0.500, 0.500, 0.500).

The magnetic moment is 0.0000 μB/atom. The value obtained for the energy above the most stable polymorph in this dataset is 0.306 eV/atom. As for the density of states at the Fermi level: 2.29 states/eV/f.u.

---

No. 10
PdAuO2 after structural relaxation. Source: the Alexandria database, functional PBE-GGA.

It has space group R-3m (No. 166, hexagonal axes), with a = 3.2014 Å, b = 3.2014 Å, c = 18.4678 Å, α = 90.00°, β = 90.00° and γ = 120.00°. The distinct sites, in fractional coordinates, are Pd at (0.0000, 0.0000, 0.0000), Au at (0.0000, 0.0000, 0.5000) and O at (0.0000, 0.0000, 0.3886).

The calculation puts the total DFT energy (no corrections) at -4.81 eV per atom. The magnetic moment is 0.0000 μB/atom. As for the density of states at the Fermi level: 3.32 states/eV/f.u.

---

No. 11
CrAu2 after structural relaxation. Source: the Alexandria database, functional PBE-GGA.

It has space group Pnma (No. 62), with a = 5.714 Å, b = 4.269 Å, c = 8.534 Å, α = 90.00°, β = 90.00° and γ = 90.00°. The distinct sites, in fractional coordinates, are Cr at (0.151, 0.250, 0.093), Au at (0.097, 0.250, 0.762) and Au at (0.152, 0.250, 0.424).

The magnetic moment is 1.3739 μB/atom. As for the formation energy: 116 meV/atom. As for the density of states at the Fermi level: 1.87 states/eV/f.u.

---

No. 12
TlSn2HgAu4 after structural relaxation. Source: the Alexandria database, functional PBE-GGA.

It has space group Fmm2 (No. 42), with a = 8.632 Å, b = 11.566 Å, c = 7.753 Å, α = 90.00°, β = 90.00° and γ = 90.00°. The distinct sites, in fractional coordinates, are Tl at (0.000, 0.000, 0.000), Sn at (0.250, 0.250, 0.249), Hg at (0.000, 0.000, 0.500), Au at (0.000, 0.246, 0.499) and Au at (0.250, 0.000, 0.250).

The magnetic moment is 0.0000 μB/atom. As for the formation energy: -27 meV/atom. As for the density of states at the Fermi level: 3.12 states/eV/f.u.

---

No. 13
Ba2GePb after structural relaxation. Source: the Alexandria database, functional PBE-GGA.

It has space group I-42d (No. 122), with a = 9.369 Å, b = 9.369 Å, c = 7.105 Å, α = 90.00°, β = 90.00° and γ = 90.00°. The distinct sites, in fractional coordinates, are Ba at (0.221, 0.750, 0.125), Ge at (0.000, 0.000, 0.000) and Pb at (0.000, 0.000, 0.500).

The magnetic moment is 0.0000 μB/atom. The value obtained for the energy above the most stable polymorph in this dataset is 0.439 eV/atom. As for the formation energy: -127 meV/atom. As for the density of states at the Fermi level: 5.24 states/eV/f.u.